First-principles (PBE+U) data for a geometry-optimized CaMnP2O7 structure, as listed in Alexandria via LeMat-Bulk.

Its crystal system is triclinic. The magnetization is 5.000 μB/f.u. The relative energy among the computed polymorphs is 0.000 eV per atom.

It has space group P-1 (No. 2), with a = 6.622 Å, b = 6.671 Å, c = 6.822 Å, α = 65.93°, β = 86.52° and γ = 82.72°. Symmetry generates all atoms from Ca at (0.140, 0.229, 0.330), Mn at (0.347, 0.395, 0.736), P at (0.150, 0.731, 0.248), P at (0.365, 0.860, 0.825), O at (0.015, 0.393, 0.788), O at (0.074, 0.883, 0.359), O at (0.234, 0.895, 0.021), O at (0.254, 0.708, 0.763), O at (0.329, 0.555, 0.363), O at (0.363, 0.097, 0.654) and O at (0.420, 0.244, 0.086).